# 1
Material: K3Cd5Bi2
Method: DFT, PBE
State: optimized geometry

Calculated values
total magnetization = 0.00 μB per formula unit
calculated formation energy = -174 meV/atom

Geometry as CIF:
```
data_K3Cd5Bi2
_chemical_formula_sum 'K12 Cd20 Bi8'
_space_group_name_H-M_alt 'I b a m'
_space_group_IT_number 72
_space_group_name_Hall '-I 2 2c'
_cell_length_a 12.0273
_cell_length_b 16.4360
_cell_length_c 6.9452
_cell_angle_alpha 90.00
_cell_angle_beta 90.00
_cell_angle_gamma 90.00
loop_
_atom_site_label
_atom_site_type_symbol
_atom_site_fract_x
_atom_site_fract_y
_atom_site_fract_z
K1 K 0.0000 0.0000 0.2500
K2 K 0.2251 0.3596 0.0000
Cd1 Cd 0.0000 0.2304 0.2500
Cd2 Cd 0.0000 0.5000 0.2500
Cd3 Cd 0.0858 0.3649 0.5000
Bi1 Bi 0.1649 0.1395 0.0000
```

***

# 2
Material: K4Cd5Bi6
Method: DFT, PBE
State: optimized geometry

Calculated values
total magnetization = 0.00 μB per formula unit
calculated formation energy = -206 meV/atom

Geometry as CIF:
```
data_K4Cd5Bi6
_chemical_formula_sum 'K16 Cd20 Bi24'
_space_group_name_H-M_alt 'C m c 21'
_space_group_IT_number 36
_space_group_name_Hall 'C 2c -2'
_cell_length_a 4.9598
_cell_length_b 22.2231
_cell_length_c 19.3046
_cell_angle_alpha 90.00
_cell_angle_beta 90.00
_cell_angle_gamma 90.00
loop_
_atom_site_label
_atom_site_type_symbol
_atom_site_fract_x
_atom_site_fract_y
_atom_site_fract_z
K1 K 0.0000 0.0072 0.0000
K2 K 0.0000 0.0186 0.2638
K3 K 0.0000 0.1782 0.4535
K4 K 0.0000 0.1799 0.8151
Cd1 Cd 0.0000 0.1346 0.1349
Cd2 Cd 0.0000 0.2865 0.1387
Cd3 Cd 0.0000 0.3608 0.5067
Cd4 Cd 0.0000 0.3639 0.7513
Cd5 Cd 0.0000 0.4162 0.2058
Bi1 Bi 0.0000 0.1234 0.6296
Bi2 Bi 0.0000 0.2106 0.2670
Bi3 Bi 0.0000 0.2132 0.0061
Bi4 Bi 0.0000 0.4318 0.8870
Bi5 Bi 0.0000 0.4361 0.3662
Bi6 Bi 0.0000 0.4522 0.6289
```

***

# 3
Material: K3CdBi3
Method: DFT, PBE
State: optimized geometry

Calculated values
total magnetization = 0.00 μB per formula unit
calculated formation energy = -335 meV/atom

Geometry as CIF:
```
data_K3CdBi3
_chemical_formula_sum 'K12 Cd4 Bi12'
_space_group_name_H-M_alt 'C 1 2/m 1'
_space_group_IT_number 12
_space_group_name_Hall '-C 2y'
_cell_length_a 12.6809
_cell_length_b 5.5291
_cell_length_c 16.7592
_cell_angle_alpha 90.00
_cell_angle_beta 111.42
_cell_angle_gamma 90.00
loop_
_atom_site_label
_atom_site_type_symbol
_atom_site_fract_x
_atom_site_fract_y
_atom_site_fract_z
K1 K 0.0266 0.0000 0.3745
K2 K 0.0906 0.0000 0.9200
K3 K 0.2443 0.0000 0.2260
Cd1 Cd 0.2428 0.5000 0.3951
Bi1 Bi 0.0437 0.5000 0.2296
Bi2 Bi 0.1152 0.5000 0.0732
Bi3 Bi 0.1355 0.5000 0.5345
```

***

# 4
Material: KCdBi
Method: DFT, PBE
State: optimized geometry

Calculated values
total magnetization = 0.00 μB per formula unit
calculated formation energy = -122 meV/atom

Geometry as CIF:
```
data_KCdBi
_chemical_formula_sum 'K2 Cd2 Bi2'
_space_group_name_H-M_alt 'I 4 m m'
_space_group_IT_number 107
_space_group_name_Hall 'I 4 -2'
_cell_length_a 4.3210
_cell_length_b 4.3210
_cell_length_c 12.4543
_cell_angle_alpha 90.00
_cell_angle_beta 90.00
_cell_angle_gamma 90.00
loop_
_atom_site_label
_atom_site_type_symbol
_atom_site_fract_x
_atom_site_fract_y
_atom_site_fract_z
K1 K 0.0000 0.0000 0.0000
Cd1 Cd 0.0000 0.0000 0.7323
Bi1 Bi 0.0000 0.0000 0.2819
```

***

Please write out number 3 again, unchanged.
Material: K3CdBi3
Method: DFT, PBE
State: optimized geometry

Calculated values
total magnetization = 0.00 μB per formula unit
calculated formation energy = -335 meV/atom

Geometry as CIF:
```
data_K3CdBi3
_chemical_formula_sum 'K12 Cd4 Bi12'
_space_group_name_H-M_alt 'C 1 2/m 1'
_space_group_IT_number 12
_space_group_name_Hall '-C 2y'
_cell_length_a 12.6809
_cell_length_b 5.5291
_cell_length_c 16.7592
_cell_angle_alpha 90.00
_cell_angle_beta 111.42
_cell_angle_gamma 90.00
loop_
_atom_site_label
_atom_site_type_symbol
_atom_site_fract_x
_atom_site_fract_y
_atom_site_fract_z
K1 K 0.0266 0.0000 0.3745
K2 K 0.0906 0.0000 0.9200
K3 K 0.2443 0.0000 0.2260
Cd1 Cd 0.2428 0.5000 0.3951
Bi1 Bi 0.0437 0.5000 0.2296
Bi2 Bi 0.1152 0.5000 0.0732
Bi3 Bi 0.1355 0.5000 0.5345
```